# GGA-PBE Cd2SiIr, optimized geometry
# Formation energy from raw total energies: 265.6 meV per atom
data_Cd2SiIr
_cell_length_a 3.933
_cell_length_b 3.933
_cell_length_c 4.447
_cell_angle_alpha 90.00
_cell_angle_beta 90.00
_cell_angle_gamma 90.00
_space_group_name_H-M_alt 'P 4/m m m'
_space_group_IT_number 123
_space_group_name_Hall '-P 4 2'
loop_
_atom_site_label
_atom_site_type_symbol
_atom_site_fract_x
_atom_site_fract_y
_atom_site_fract_z
Cd1 Cd 0.000 0.500 0.000
Si1 Si 0.000 0.000 0.500
Ir1 Ir 0.500 0.500 0.500

# GGA-PBE CdSi2Ir, optimized geometry
# Formation energy from raw total energies: 93.4 meV per atom
data_CdSi2Ir
_cell_length_a 3.0346
_cell_length_b 3.0346
_cell_length_c 24.4247
_cell_angle_alpha 90.00
_cell_angle_beta 90.00
_cell_angle_gamma 120.00
_space_group_name_H-M_alt 'R 3 m'
_space_group_IT_number 160
_space_group_name_Hall 'R 3 -2"'
loop_
_atom_site_label
_atom_site_type_symbol
_atom_site_fract_x
_atom_site_fract_y
_atom_site_fract_z
Cd1 Cd 0.0000 0.0000 0.0000
Si1 Si 0.0000 0.0000 0.5017
Si2 Si 0.0000 0.0000 0.7615
Ir1 Ir 0.0000 0.0000 0.2369

# GGA-PBE Cd2SiIr, optimized geometry
# Formation energy from raw total energies: 356.7 meV per atom
data_Cd2SiIr
_cell_length_a 2.8817
_cell_length_b 2.8817
_cell_length_c 30.2989
_cell_angle_alpha 90.00
_cell_angle_beta 90.00
_cell_angle_gamma 120.00
_space_group_name_H-M_alt 'R -3 m'
_space_group_IT_number 166
_space_group_name_Hall '-R 3 2"'
loop_
_atom_site_label
_atom_site_type_symbol
_atom_site_fract_x
_atom_site_fract_y
_atom_site_fract_z
Cd1 Cd 0.0000 0.0000 0.2443
Si1 Si 0.0000 0.0000 0.0000
Ir1 Ir 0.0000 0.0000 0.5000

# GGA-PBE CdSi2Ir, optimized geometry
# Formation energy from raw total energies: 235.2 meV per atom
data_CdSi2Ir
_cell_length_a 4.410
_cell_length_b 3.029
_cell_length_c 5.134
_cell_angle_alpha 90.00
_cell_angle_beta 113.20
_cell_angle_gamma 90.00
_space_group_name_H-M_alt 'P 1 2/m 1'
_space_group_IT_number 10
loop_
_space_group_symop_operation_xyz
'x,y,z'
'-x,-y,-z'
'-x,y,-z'
'x,-y,z'
loop_
_atom_site_label
_atom_site_type_symbol
_atom_site_fract_x
_atom_site_fract_y
_atom_site_fract_z
Cd1 Cd 0.000 0.000 0.000
Si1 Si 0.500 0.000 0.500
Si2 Si 0.500 0.500 0.000
Ir1 Ir 0.000 0.500 0.500

# GGA-PBE Cd2SiIr, optimized geometry
# Formation energy from raw total energies: -145.8 meV per atom
data_Cd2SiIr
_cell_length_a 14.667
_cell_length_b 2.831
_cell_length_c 3.921
_cell_angle_alpha 90.00
_cell_angle_beta 105.38
_cell_angle_gamma 90.00
_space_group_name_H-M_alt 'C 1 2/m 1'
_space_group_IT_number 12
loop_
_space_group_symop_operation_xyz
'x,y,z'
'-x,-y,-z'
'-x,y,-z'
'x,-y,z'
'x+1/2,y+1/2,z'
'-x+1/2,-y+1/2,-z'
'-x+1/2,y+1/2,-z'
'x+1/2,-y+1/2,z'
loop_
_atom_site_label
_atom_site_type_symbol
_atom_site_fract_x
_atom_site_fract_y
_atom_site_fract_z
Cd1 Cd 0.184 0.000 0.184
Si1 Si 0.000 0.000 0.500
Ir1 Ir 0.000 0.500 0.000

# GGA-PBE Cd3SiIr, optimized geometry
# Formation energy from raw total energies: 1078.1 meV per atom
# Energy relative to the lowest polymorph listed for this composition: 292 meV per atom
data_Cd3SiIr
_cell_length_a 4.912
_cell_length_b 4.912
_cell_length_c 4.912
_cell_angle_alpha 90.00
_cell_angle_beta 90.00
_cell_angle_gamma 90.00
_space_group_name_H-M_alt 'P m -3 m'
_space_group_IT_number 221
_space_group_name_Hall '-P 4 2 3'
loop_
_atom_site_label
_atom_site_type_symbol
_atom_site_fract_x
_atom_site_fract_y
_atom_site_fract_z
Cd1 Cd 0.000 0.000 0.500
Si1 Si 0.000 0.000 0.000
Ir1 Ir 0.500 0.500 0.500

The evaluated volume for the records listed, in turn: 17.20 16.23 18.16 15.76 19.62 23.71 Å³/atom.
The evaluated final energy for the records listed, in turn: -3.76 -5.06 -3.67 -4.92 -4.17 -2.33 eV/atom.